Model P:
A plane-wave DFT calculation with meta-GGA SCAN was carried out for a PBEsol-optimized structure of Ca2TaCr.

Output
- Fermi-level density of states (states/eV/cell) = 4.08

a = 3.176 Å, b = 3.176 Å, c = 10.776 Å
α = 81.53°, β = 81.53°, γ = 60.00°
Each line ends with the local moment (μB).
Element x y z (fractional)
Cr: 0.500 0.500 0.500  3.91
Ca: 0.251 0.251 0.246  -0.04
Ca: 0.749 0.749 0.754  -0.04
Ta: 0.000 0.000 0.000  0.08

---

Model Q:
A plane-wave DFT calculation with meta-GGA SCAN was carried out for a PBEsol-optimized structure of Ca2TaCr.

Output
- Fermi-level density of states (states/eV/cell) = 3.17

a = 4.140 Å, b = 4.161 Å, c = 5.024 Å
α = 90.00°, β = 90.00°, γ = 90.00°
Each line ends with the local moment (μB).
Element x y z (fractional)
Cr: 0.500 0.000 0.500  3.44
Ca: 0.000 0.000 0.000  -0.02
Ca: 0.500 0.500 0.000  -0.02
Ta: 0.000 0.500 0.500  -1.11

---

Model R:
A plane-wave DFT calculation with meta-GGA SCAN was carried out for a PBEsol-optimized structure of Ca2TaCr.

Output
- Fermi-level density of states (states/eV/cell) = 3.81

a = 5.143 Å, b = 5.143 Å, c = 5.143 Å
α = 60.00°, β = 60.00°, γ = 60.00°
Each line ends with the local moment (μB).
Element x y z (fractional)
Cr: 0.000 0.000 0.000  3.99
Ca: 0.250 0.250 0.250  -0.07
Ca: 0.750 0.750 0.750  -0.07
Ta: 0.500 0.500 0.500  -1.81

---

Most stable one: model P, least stable one: model R.